BaCdCoO3 after structural relaxation, computed with PBE with a Hubbard U.

Calculated values
Calculated total energy ... -31.65 eV per cell
Spin magnetization ... 3.0 μB/cell

a = 6.2594 Å, b = 6.2594 Å, c = 6.2594 Å
α = 147.05°, β = 138.11°, γ = 54.30°
With the nearest neighbours (Å) after each atom.
Atoms (fractional coordinates):
Ba 0.9885 0.4885 0.5000  6 O 2.67-2.86
Cd 0.6844 0.1844 0.5000  5 O 2.19-2.27
Co 0.3116 0.8116 0.5000  3 O 1.96-2.06
O 0.2186 0.2186 0.0000  2 Co 2.06, 2 Cd 2.27
O 0.8096 0.8096 0.0000  2 Co 2.24, 2 Cd 2.26
O 0.4874 0.9874 0.5000  1 Co 1.96